VASP calculation (PBE) on crystalline Co2SiW at its relaxed geometry.

Cell and atoms, written as POSCAR:
```
Co2SiW
1.0
4.4200 -0.0015 0.0000
1.3472 4.2096 0.0000
-2.8836 -2.1041 2.6065
Co Si W
2 1 1
direct
0.0000 0.0000 0.0000
0.5000 0.5000 0.0000
0.2500 0.7500 0.5000
0.7500 0.2500 0.5000
```

Space-group type: I4/mmm, No. 139
Raw formation energy in eV per atom: -0.149

VASP calculation (PBE) on crystalline Co3SiW at its relaxed geometry.

Cell and atoms, written as POSCAR:
```
Co3SiW
1.0
-0.6637 -3.3544 2.4953
4.0867 -3.2843 -3.3281
2.1432 3.1997 4.8716
Co Si W
6 2 2
direct
0.7500 0.5319 0.8319
0.7500 0.1681 0.4681
0.2500 0.8319 0.5319
0.2500 0.4681 0.1681
0.0000 0.0000 0.0000
0.5000 0.0000 0.0000
0.7500 0.7980 0.2020
0.2500 0.2020 0.7980
0.7500 0.5693 0.4307
0.2500 0.4307 0.5693
```

Space-group type: Cmcm, No. 63
Raw formation energy in eV per atom: 0.563
Energy above the most stable polymorph in this dataset in meV/atom: 0

VASP calculation (PBE) on crystalline CoSi2W at its relaxed geometry.

Cell and atoms, written as POSCAR:
```
CoSi2W
1.0
4.1912 0.0000 0.0000
0.0000 2.6919 0.0118
0.0000 -0.0230 4.6460
Co Si W
1 2 1
direct
0.5000 0.0003 0.7618
0.0000 0.0004 0.9814
0.5000 0.9991 0.2669
0.0000 0.5001 0.4898
```

Space-group type: Pmm2, No. 25
Raw formation energy in eV per atom: -0.087
Energy above the most stable polymorph in this dataset in meV/atom: 106

VASP calculation (PBE) on crystalline Co2SiW at its relaxed geometry.

Cell and atoms, written as POSCAR:
```
Co2SiW
1.0
-2.0236 -1.4476 -3.5739
2.0337 -3.4525 1.7052
-2.1879 -0.5641 1.4673
Co Si W
2 1 1
direct
0.0000 0.0000 0.0000
0.5000 0.5000 0.0000
0.5000 0.0000 0.5000
0.0000 0.5000 0.5000
```

Space-group type: Cmmm, No. 65
Raw formation energy in eV per atom: -0.058

VASP calculation (PBE) on crystalline CoSi2W at its relaxed geometry.

Cell and atoms, written as POSCAR:
```
CoSi2W
1.0
-0.2289 1.0018 -3.6365
2.0339 -1.7734 -0.6165
-3.3858 -3.6146 -0.7826
Co Si W
1 2 1
direct
0.5000 0.7500 0.7500
0.0000 0.7508 0.9996
0.0000 0.7492 0.5004
0.5000 0.2500 0.2500
```

Space-group type: Pmmm, No. 47
Raw formation energy in eV per atom: -0.182
Energy above the most stable polymorph in this dataset in meV/atom: 11

VASP calculation (PBE) on crystalline Co2Si5W4 at its relaxed geometry.

Cell and atoms, written as POSCAR:
```
Co2Si5W4
1.0
1.0439 1.9006 -4.3666
4.4086 -6.2221 -1.6542
-8.8301 -1.3678 0.0154
Co Si W
4 10 8
direct
0.9479 0.6979 0.3959
0.5521 0.3021 0.6041
0.0521 0.3021 0.6041
0.4479 0.6979 0.3959
0.2500 0.0000 0.0000
0.7500 0.0000 0.0000
0.5739 0.6540 0.1479
0.4261 0.3460 0.8521
0.9261 0.5061 0.8521
0.0739 0.4939 0.1479
0.7794 0.9821 0.5589
0.2206 0.0179 0.4411
0.2794 0.5767 0.5589
0.7206 0.4233 0.4411
0.9369 0.1932 0.8737
0.0631 0.8068 0.1263
0.5631 0.3195 0.1263
0.4369 0.6805 0.8737
0.6423 0.0311 0.2846
0.3577 0.9689 0.7154
0.8577 0.7465 0.7154
0.1423 0.2535 0.2846
```

Space-group type: Ibam, No. 72
Raw formation energy in eV per atom: -0.226

VASP calculation (PBE) on crystalline CoSi2W at its relaxed geometry.

Cell and atoms, written as POSCAR:
```
CoSi2W
1.0
2.6594 0.0104 0.0000
-0.0102 2.6594 0.0000
0.0000 0.0000 7.6030
Co Si W
1 2 1
direct
0.5000 0.5000 0.7651
0.0000 0.0000 0.9594
0.5000 0.5000 0.2561
0.0000 0.0000 0.5194
```

Space-group type: P4mm, No. 99
Raw formation energy in eV per atom: 0.057
Energy above the most stable polymorph in this dataset in meV/atom: 250

VASP calculation (PBE) on crystalline CoSiW at its relaxed geometry.

Cell and atoms, written as POSCAR:
```
CoSiW
1.0
3.6259 0.0000 0.0000
0.0000 6.0541 0.0240
0.0000 0.0229 10.4101
Co Si W
6 6 6
direct
0.2500 0.9892 0.0879
0.2500 0.8521 0.4594
0.7500 0.6373 0.7957
0.7500 0.1479 0.5406
0.2500 0.3627 0.2043
0.7500 0.0108 0.9121
0.2500 0.7711 0.9121
0.7500 0.2713 0.7515
0.7500 0.7716 0.5842
0.7500 0.2289 0.0879
0.2500 0.2284 0.4158
0.2500 0.7287 0.2485
0.7500 0.5290 0.3841
0.2500 0.9793 0.7093
0.7500 0.0207 0.2907
0.7500 0.6478 0.0771
0.2500 0.4710 0.6159
0.2500 0.3522 0.9229
```

Space-group type: P2_1/m, No. 11
Raw formation energy in eV per atom: -0.359

VASP calculation (PBE) on crystalline Co2SiW at its relaxed geometry.

Cell and atoms, written as POSCAR:
```
Co2SiW
1.0
4.3508 -0.0009 0.0147
3.5132 2.5665 0.0147
0.7618 0.2485 4.4405
Co Si W
2 1 1
direct
0.9925 0.9925 0.0086
0.5075 0.5075 0.4914
0.2500 0.2500 0.2500
0.7500 0.7500 0.7500
```

Space-group type: C2/m, No. 12
Raw formation energy in eV per atom: -0.067

VASP calculation (PBE) on crystalline Co2SiW at its relaxed geometry.

Cell and atoms, written as POSCAR:
```
Co2SiW
1.0
-0.2591 -2.6931 0.0468
2.6647 -0.2495 0.3992
-0.9423 0.2023 6.4171
Si Co W
1 2 1
direct
0.5000 0.5000 0.2500
0.0000 0.0000 0.0398
0.0000 0.0000 0.4602
0.5000 0.5000 0.7500
```

Space-group type: P4/mmm, No. 123
Raw formation energy in eV per atom: -0.289

VASP calculation (PBE) on crystalline Co2SiW at its relaxed geometry.

Cell and atoms, written as POSCAR:
```
Co2SiW
1.0
-7.4318 -1.1416 3.2031
-7.3558 -3.2331 1.4945
-6.2612 -3.4577 3.9543
Co Si W
2 1 1
direct
0.9965 0.9965 0.9965
0.2466 0.2466 0.2466
0.5078 0.5078 0.5078
0.7492 0.7492 0.7492
```

Space-group type: R3m, No. 160
Raw formation energy in eV per atom: 0.107

VASP calculation (PBE) on crystalline CoSiW at its relaxed geometry.

Cell and atoms, written as POSCAR:
```
CoSiW
1.0
-1.8621 -1.7071 1.0501
2.6560 -0.6495 0.0902
0.4991 2.7948 5.4284
Co Si W
1 1 1
direct
0.0000 0.0000 0.0174
0.6667 0.3333 0.3109
0.3333 0.6667 0.6717
```

Space-group type: P3m1, No. 156
Raw formation energy in eV per atom: 0.010

VASP calculation (PBE) on crystalline Co2SiW at its relaxed geometry.

Cell and atoms, written as POSCAR:
```
Co2SiW
1.0
4.8916 0.0079 0.0139
2.2988 4.3178 -0.0139
-3.1109 -2.9679 2.3328
Co Si W
2 1 1
direct
0.0018 0.0018 0.0000
0.2769 0.7769 0.5000
0.4853 0.4853 0.0000
0.7361 0.2361 0.5000
```

Space-group type: Imm2, No. 44
Raw formation energy in eV per atom: -0.127

VASP calculation (PBE) on crystalline CoSiW at its relaxed geometry.

Cell and atoms, written as POSCAR:
```
CoSiW
1.0
4.0189 0.0000 0.0000
-2.0094 3.4804 0.0000
0.0000 0.0000 2.7524
Co Si W
1 1 1
direct
0.0000 0.0000 0.1669
0.3333 0.6667 0.1666
0.6667 0.3333 0.6665
```

Space-group type: P-6m2, No. 187
Raw formation energy in eV per atom: -0.215

VASP calculation (PBE) on crystalline CoSi2W at its relaxed geometry.

Cell and atoms, written as POSCAR:
```
CoSi2W
1.0
4.2091 0.0000 0.0000
2.1046 3.6452 0.0000
2.1046 1.2151 3.4367
Co Si W
1 2 1
direct
0.5000 0.5000 0.5000
0.0000 0.0000 0.0000
0.7500 0.7500 0.7500
0.2500 0.2500 0.2500
```

Space-group type: F-43m, No. 216
Raw formation energy in eV per atom: 0.280
Energy above the most stable polymorph in this dataset in meV/atom: 473

VASP calculation (PBE) on crystalline Co3SiW at its relaxed geometry.

Cell and atoms, written as POSCAR:
```
Co3SiW
1.0
4.0890 0.0000 0.0000
0.0000 4.0890 0.0000
0.0000 0.0000 4.0890
Si Co W
1 3 1
direct
0.0000 0.0000 0.0000
0.0000 0.5000 0.0000
0.0000 0.0000 0.5000
0.5000 0.0000 0.0000
0.5000 0.5000 0.5000
```

Space-group type: Pm-3m, No. 221
Raw formation energy in eV per atom: 0.809
Energy above the most stable polymorph in this dataset in meV/atom: 246

VASP calculation (PBE) on crystalline CoSi2W at its relaxed geometry.

Cell and atoms, written as POSCAR:
```
CoSi2W
1.0
-2.0084 -4.6639 3.8150
5.7664 -2.6541 -0.2091
2.6407 -2.1783 4.0141
Si Co W
4 2 2
direct
0.5822 0.1250 0.2500
0.1678 0.6250 0.2500
0.3750 0.4178 0.7500
0.8750 0.8322 0.7500
0.5000 0.5000 0.0000
0.2500 0.7500 0.5000
0.0000 0.0000 0.0000
0.7500 0.2500 0.5000
```

Space-group type: I-42d, No. 122
Raw formation energy in eV per atom: 0.287
Energy above the most stable polymorph in this dataset in meV/atom: 480

VASP calculation (PBE) on crystalline CoSi2W at its relaxed geometry.

Cell and atoms, written as POSCAR:
```
CoSi2W
1.0
-1.9835 -0.2568 -3.6778
0.6622 -0.2819 -4.1241
-0.1662 -4.9411 -0.7068
Co Si W
1 2 1
direct
0.2500 0.2500 0.2500
0.9891 0.9891 0.0293
0.5109 0.5109 0.4707
0.7500 0.7500 0.7500
```

Space-group type: C2/m, No. 12
Raw formation energy in eV per atom: -0.089
Energy above the most stable polymorph in this dataset in meV/atom: 104

VASP calculation (PBE) on crystalline Co2SiW at its relaxed geometry.

Cell and atoms, written as POSCAR:
```
Co2SiW
1.0
-1.4898 1.2165 -2.0412
0.4168 -2.2377 -1.6378
-5.1760 -2.5966 2.2303
Co Si W
2 1 1
direct
0.0000 0.0000 0.0146
0.5000 0.5000 0.2709
0.0000 0.0000 0.4613
0.5000 0.5000 0.7531
```

Space-group type: P4mm, No. 99
Raw formation energy in eV per atom: -0.102

VASP calculation (PBE) on crystalline Co2SiW at its relaxed geometry.

Cell and atoms, written as POSCAR:
```
Co2SiW
1.0
-0.6092 -2.7859 0.0841
2.8714 -0.5353 3.0680
-2.8948 0.7186 2.8346
Co Si W
2 1 1
direct
0.0000 0.0000 0.0000
0.5000 0.5000 0.0000
0.5000 0.0000 0.5000
0.0000 0.5000 0.5000
```

Space-group type: Pmmm, No. 47
Raw formation energy in eV per atom: 0.012

VASP calculation (PBE) on crystalline Co2SiW at its relaxed geometry.

Cell and atoms, written as POSCAR:
```
Co2SiW
1.0
3.8350 0.0000 0.0000
0.0000 2.6618 0.0080
0.0000 1.0959 4.8393
Co Si W
2 1 1
direct
0.0000 0.1090 0.0102
0.0000 0.3910 0.4898
0.5000 0.2500 0.2500
0.5000 0.7500 0.7500
```

Space-group type: P2/m, No. 10
Raw formation energy in eV per atom: -0.110

VASP calculation (PBE) on crystalline Co2SiW at its relaxed geometry.

Cell and atoms, written as POSCAR:
```
Co2SiW
1.0
-1.5171 -3.1384 -1.2039
2.3403 -1.9343 2.0934
-2.3496 0.0947 2.7141
Co Si W
2 1 1
direct
0.0000 0.0000 0.0000
0.5000 0.5000 0.0000
0.5000 0.0000 0.5000
0.0000 0.5000 0.5000
```

Space-group type: P4/mmm, No. 123
Raw formation energy in eV per atom: -0.091

VASP calculation (PBE) on crystalline CoSi2W at its relaxed geometry.

Cell and atoms, written as POSCAR:
```
CoSi2W
1.0
3.1307 0.0000 0.0000
0.0000 3.1307 0.0000
0.0000 0.0000 5.2777
Co Si W
1 2 1
direct
0.5000 0.5000 0.7960
0.0000 0.0000 0.9799
0.5000 0.5000 0.2456
0.0000 0.0000 0.4784
```

Space-group type: P4mm, No. 99
Raw formation energy in eV per atom: -0.187
Energy above the most stable polymorph in this dataset in meV/atom: 6

VASP calculation (PBE) on crystalline CoSi2W at its relaxed geometry.

Cell and atoms, written as POSCAR:
```
CoSi2W
1.0
4.1267 0.0098 0.0000
-0.0089 4.1267 0.0000
0.0000 0.0000 2.9939
Co Si W
1 2 1
direct
0.0000 0.5000 0.5000
0.0000 0.0000 0.0000
0.5000 0.5000 0.0000
0.5000 0.0000 0.5000
```

Space-group type: P4/mmm, No. 123
Raw formation energy in eV per atom: -0.129
Energy above the most stable polymorph in this dataset in meV/atom: 64

VASP calculation (PBE) on crystalline CoSi2W at its relaxed geometry.

Cell and atoms, written as POSCAR:
```
CoSi2W
1.0
2.7356 -0.0176 0.0000
-0.6055 2.6679 0.0000
0.0000 0.0000 7.0660
Co Si W
1 2 1
direct
0.5000 0.5000 0.7500
0.0000 0.0000 0.9715
0.0000 0.0000 0.5285
0.5000 0.5000 0.2500
```

Space-group type: Cmmm, No. 65
Raw formation energy in eV per atom: -0.052
Energy above the most stable polymorph in this dataset in meV/atom: 141

VASP calculation (PBE) on crystalline Co6SiW at its relaxed geometry.

Cell and atoms, written as POSCAR:
```
Co6SiW
1.0
-1.5901 4.5240 3.8211
3.5191 -4.0732 2.9360
8.1815 5.1379 -2.6785
Co Si W
24 4 4
direct
0.2488 0.7512 0.4961
0.8789 0.6318 0.6226
0.1211 0.3682 0.6226
0.7512 0.2488 0.4961
0.3682 0.1211 0.6226
0.6318 0.8789 0.6226
0.5000 0.5000 0.2500
0.1200 0.3714 0.3726
0.3714 0.1200 0.3726
0.2488 0.7512 0.0039
0.8800 0.6286 0.1274
0.1200 0.3714 0.1274
0.7512 0.2488 0.0039
0.3714 0.1200 0.1274
0.6286 0.8800 0.1274
0.5000 0.5000 0.7500
0.1211 0.3682 0.8774
0.3682 0.1211 0.8774
0.0000 0.0000 0.2500
0.6286 0.8800 0.3726
0.8800 0.6286 0.3726
0.0000 0.0000 0.7500
0.6318 0.8789 0.8774
0.8789 0.6318 0.8774
0.2579 0.7421 0.2500
0.7421 0.2579 0.2500
0.0000 0.0000 0.4948
0.0000 0.0000 0.0052
0.2565 0.7435 0.7500
0.7435 0.2565 0.7500
0.5000 0.5000 0.4965
0.5000 0.5000 0.0035
```

Space-group type: Cmmm, No. 65
Raw formation energy in eV per atom: -0.166